(1)
A relaxed MgTa crystal, computed with PBE-GGA.

Values from the calculation:
Crystal system: hexagonal
Magnetic moment in μB per formula unit: 0.00
E_tot in eV per atom: -5.5233

a b c (Å): 4.725 4.725 5.094
angles (deg): 90.00 90.00 120.00
Sites, in units of the cell vectors:
1 Mg 0.333 0.667 0.250
2 Mg 0.667 0.333 0.750
3 Ta 0.000 0.000 0.000
4 Ta 0.000 0.000 0.500

(2)
A relaxed MgTa7 crystal, computed with PBE-GGA.

Values from the calculation:
Crystal system: cubic
Magnetic moment in μB per formula unit: 0.00
E_tot in eV per atom: -10.3109

a b c (Å): 5.954 5.954 5.954
angles (deg): 60.00 60.00 60.00
Sites, in units of the cell vectors:
1 Mg 0.000 0.000 0.000
2 Ta 0.000 0.000 0.500
3 Ta 0.000 0.500 0.000
4 Ta 0.000 0.500 0.500
5 Ta 0.500 0.000 0.000
6 Ta 0.500 0.000 0.500
7 Ta 0.500 0.500 0.000
8 Ta 0.500 0.500 0.500

(3)
A relaxed MgTa2 crystal, computed with PBE-GGA.

Values from the calculation:
Crystal system: hexagonal
Magnetic moment in μB per formula unit: 0.00
E_tot in eV per atom: -7.9923
Distance to the lowest polymorph of the same formula in meV per atom: 187

a b c (Å): 5.569 5.569 9.099
angles (deg): 90.00 90.00 120.00
Sites, in units of the cell vectors:
1 Mg 0.333 0.667 0.063
2 Mg 0.333 0.667 0.437
3 Mg 0.667 0.333 0.563
4 Mg 0.667 0.333 0.937
5 Ta 0.000 0.000 0.000
6 Ta 0.000 0.000 0.500
7 Ta 0.165 0.331 0.750
8 Ta 0.165 0.835 0.750
9 Ta 0.331 0.165 0.250
10 Ta 0.669 0.835 0.750
11 Ta 0.835 0.165 0.250
12 Ta 0.835 0.669 0.250